Entry 1:
Compound: Mg3Cd2Ag4
Source: Alexandria via LeMat-Bulk
Functional: GGA-PBE
Structure: optimized geometry

Lattice parameters (Å, degrees): 4.3096 5.1182 8.9139 76.28 90.21 64.78
Last column: nearest neighbours and their distance in Å.
Positions (direct):
1 Mg 0.3362 0.3281 0.4327  6 Ag 2.89-3.07, 3 Mg 2.96-3.10, 3 Cd 3.00-3.09
2 Mg 0.0000 0.0000 0.0000  8 Ag 2.95-3.00, 4 Cd 3.04-3.07
3 Mg 0.6638 0.6719 0.5673  6 Ag 2.89-3.07, 3 Mg 2.96-3.10, 3 Cd 3.00-3.09
4 Cd 0.3328 0.3357 0.7779  7 Ag 2.94-3.04, 5 Mg 3.00-3.09
5 Cd 0.6672 0.6643 0.2221  7 Ag 2.94-3.04, 5 Mg 3.00-3.09
6 Ag 0.6657 0.6685 0.8916  4 Mg 2.89-2.99, 4 Cd 2.94-2.99, 4 Ag 3.03-3.12
7 Ag 0.0070 0.9857 0.3387  3 Ag 2.91-3.12, 6 Mg 2.92-3.07, 3 Cd 2.95-3.04
8 Ag 0.9930 0.0143 0.6613  3 Ag 2.91-3.12, 6 Mg 2.92-3.07, 3 Cd 2.95-3.04
9 Ag 0.3343 0.3315 0.1084  4 Mg 2.89-2.99, 4 Cd 2.94-2.99, 4 Ag 3.03-3.12

Symmetry   P-1 (2)
Distance to the lowest polymorph of the same formula   0 meV per atom
E_form   -0.16 eV per atom

---

Entry 2:
Compound: Mg6Cd3Ag
Source: Alexandria via LeMat-Bulk
Functional: GGA-PBE
Structure: optimized geometry

Lattice parameters (Å, degrees): 4.5421 9.3063 10.0468 95.85 90.00 90.00
Last column: nearest neighbours and their distance in Å.
Positions (direct):
1 Mg 0.2500 0.4529 0.0973  7 Cd 3.07-3.10, 5 Mg 3.09-3.28
2 Mg 0.7500 0.5471 0.9027  7 Cd 3.07-3.10, 5 Mg 3.09-3.28
3 Mg 0.2500 0.1502 0.1976  8 Mg 3.02-3.09, 2 Ag 3.13, 2 Cd 3.19
4 Mg 0.7500 0.8498 0.8024  8 Mg 3.02-3.09, 2 Ag 3.13, 2 Cd 3.19
5 Mg 0.2500 0.6503 0.6976  1 Ag 2.92, 5 Cd 3.03-3.09, 2 Mg 3.05
6 Mg 0.7500 0.3497 0.3024  1 Ag 2.92, 5 Cd 3.03-3.09, 2 Mg 3.05
7 Mg 0.2500 0.2286 0.4973  3 Ag 2.93-3.03, 5 Mg 3.02-3.27, 4 Cd 3.07-3.22
8 Mg 0.7500 0.7714 0.5027  3 Ag 2.93-3.03, 5 Mg 3.02-3.27, 4 Cd 3.07-3.22
9 Mg 0.2500 0.8642 0.3174  3 Ag 2.94-3.00, 5 Mg 3.03-3.25, 4 Cd 3.14-3.25
10 Mg 0.7500 0.1358 0.6826  3 Ag 2.94-3.00, 5 Mg 3.03-3.25, 4 Cd 3.14-3.25
11 Mg 0.2500 0.0534 0.8937  1 Ag 2.89, 4 Cd 3.01-3.06, 3 Mg 3.04-3.09
12 Mg 0.7500 0.9466 0.1063  1 Ag 2.89, 4 Cd 3.01-3.06, 3 Mg 3.04-3.09
13 Cd 0.2500 0.5480 0.4003  8 Mg 3.03-3.22, 4 Cd 3.21
14 Cd 0.7500 0.4520 0.5997  8 Mg 3.03-3.22, 4 Cd 3.21
15 Cd 0.2500 0.3471 0.7941  8 Mg 3.01-3.14, 4 Cd 3.21-3.28
16 Cd 0.7500 0.6529 0.2059  8 Mg 3.01-3.14, 4 Cd 3.21-3.28
17 Cd 0.2500 0.7567 0.9997  10 Mg 3.01-3.25, 2 Cd 3.28
18 Cd 0.7500 0.2433 0.0003  10 Mg 3.01-3.25, 2 Cd 3.28
19 Ag 0.2500 0.9418 0.6145  10 Mg 2.89-3.13
20 Ag 0.7500 0.0582 0.3855  10 Mg 2.89-3.13

Symmetry   P2_1/m (11)
E_form   -0.10 eV per atom

---

Entry 3:
Compound: Mg6Cd2Ag
Source: Alexandria via LeMat-Bulk
Functional: GGA-PBE
Structure: optimized geometry

Lattice parameters (Å, degrees): 3.2670 8.2297 8.2297 119.99 90.00 90.00
Last column: nearest neighbours and their distance in Å.
Positions (direct):
1 Mg 0.5000 0.3692 0.3692  1 Ag 3.04, 4 Cd 3.08, 8 Mg 3.20-3.31
2 Mg 0.5000 0.6307 0.0001  1 Ag 3.04, 4 Cd 3.08, 8 Mg 3.20-3.31
3 Mg 0.5000 0.0001 0.6307  1 Ag 3.04, 4 Cd 3.08, 8 Mg 3.20-3.31
4 Mg 0.0000 0.7194 0.7194  2 Ag 2.83, 2 Cd 2.98
5 Mg 0.0000 0.2806 0.0000  2 Ag 2.83, 2 Cd 2.98
6 Mg 0.0000 0.0000 0.2806  2 Ag 2.83, 2 Cd 2.98
7 Cd 0.0000 0.6667 0.3334  9 Mg 2.98-3.08, 2 Cd 3.27
8 Cd 0.0000 0.3334 0.6667  9 Mg 2.98-3.08, 2 Cd 3.27
9 Ag 0.5000 0.9999 0.9999  9 Mg 2.83-3.04

Symmetry   P-62m (189)
Distance to the lowest polymorph of the same formula   0 meV per atom
E_form   -0.12 eV per atom

---

Entry 4:
Compound: Mg5Cd4Ag4
Source: Alexandria via LeMat-Bulk
Functional: GGA-PBE
Structure: optimized geometry

Lattice parameters (Å, degrees): 4.4299 7.9689 7.9689 85.57 73.86 73.86
Last column: nearest neighbours and their distance in Å.
Positions (direct):
1 Mg 0.6941 0.8654 0.7464  5 Ag 2.93-3.10, 3 Cd 3.03, 4 Mg 3.11-3.12
2 Mg 0.3059 0.1346 0.2536  5 Ag 2.93-3.10, 3 Cd 3.03, 4 Mg 3.11-3.12
3 Mg 0.0000 0.0000 0.0000  4 Ag 2.88, 8 Mg 3.12
4 Mg 0.5595 0.7464 0.1346  5 Ag 2.93-3.10, 3 Cd 3.03, 4 Mg 3.11-3.12
5 Mg 0.4405 0.2536 0.8654  5 Ag 2.93-3.10, 3 Cd 3.03, 4 Mg 3.11-3.12
6 Cd 0.9107 0.4714 0.7072  4 Ag 2.98-3.03, 3 Mg 3.03, 5 Cd 3.17-3.20
7 Cd 0.6179 0.2928 0.4714  4 Ag 2.98-3.03, 3 Mg 3.03, 5 Cd 3.17-3.20
8 Cd 0.0893 0.5286 0.2928  4 Ag 2.98-3.03, 3 Mg 3.03, 5 Cd 3.17-3.20
9 Cd 0.3821 0.7072 0.5286  4 Ag 2.98-3.03, 3 Mg 3.03, 5 Cd 3.17-3.20
10 Ag 0.7729 0.3654 0.0887  6 Mg 2.88-3.10, 4 Cd 2.98-3.03
11 Ag 0.2271 0.6346 0.9113  6 Mg 2.88-3.10, 4 Cd 2.98-3.03
12 Ag 0.8616 0.9113 0.3654  6 Mg 2.88-3.10, 4 Cd 2.98-3.03
13 Ag 0.1384 0.0887 0.6346  6 Mg 2.88-3.10, 4 Cd 2.98-3.03

Symmetry   I4/m (87)
E_form   -0.10 eV per atom

---

Entry 5:
Compound: Mg3Cd3Ag
Source: Alexandria via LeMat-Bulk
Functional: GGA-PBE
Structure: optimized geometry

Lattice parameters (Å, degrees): 6.0712 6.0712 8.5606 90.06 90.06 79.48
Last column: nearest neighbours and their distance in Å.
Positions (direct):
1 Mg 0.9995 0.9995 0.7583  2 Ag 2.90-2.93, 6 Cd 3.02-3.21, 4 Mg 3.03-3.04
2 Mg 0.4979 0.0071 0.2401  2 Ag 2.83-2.85, 4 Cd 2.96-3.16, 2 Mg 3.03-3.04
3 Mg 0.0071 0.4979 0.2401  2 Ag 2.83-2.85, 4 Cd 2.96-3.16, 2 Mg 3.03-3.04
4 Mg 0.5021 0.9929 0.7599  2 Ag 2.83-2.85, 4 Cd 2.96-3.16, 2 Mg 3.03-3.04
5 Mg 0.9929 0.5021 0.7599  2 Ag 2.83-2.85, 4 Cd 2.96-3.16, 2 Mg 3.03-3.04
6 Mg 0.0005 0.0005 0.2417  2 Ag 2.90-2.93, 6 Cd 3.02-3.21, 4 Mg 3.03-3.04
7 Cd 0.2218 0.2218 0.5029  6 Mg 2.96-3.04, 4 Cd 3.03-3.11
8 Cd 0.2989 0.7011 0.5000  5 Cd 3.03-3.12, 6 Mg 3.21-3.27
9 Cd 0.7011 0.2989 0.5000  5 Cd 3.03-3.12, 6 Mg 3.21-3.27
10 Cd 0.3056 0.6944 0.0000  1 Cd 3.02, 4 Ag 3.02-3.13, 6 Mg 3.12-3.16
11 Cd 0.6944 0.3056 0.0000  1 Cd 3.02, 4 Ag 3.02-3.13, 6 Mg 3.12-3.16
12 Cd 0.7782 0.7782 0.4971  6 Mg 2.96-3.04, 4 Cd 3.03-3.11
13 Ag 0.2194 0.2194 0.9974  6 Mg 2.83-2.93, 4 Cd 3.02-3.13
14 Ag 0.7806 0.7806 0.0026  6 Mg 2.83-2.93, 4 Cd 3.02-3.13

Symmetry   C2/m (12)
E_form   -0.06 eV per atom

---

Entry 6:
Compound: Mg3Cd2Ag4
Source: Alexandria via LeMat-Bulk
Functional: GGA-PBE
Structure: optimized geometry

Lattice parameters (Å, degrees): 4.1677 6.7530 6.7928 108.11 107.87 90.00
Last column: nearest neighbours and their distance in Å.
Positions (direct):
1 Mg 0.8849 0.3546 0.7698  7 Ag 2.85-3.03, 1 Mg 2.98, 3 Cd 3.05-3.08
2 Mg 0.1151 0.6454 0.2302  7 Ag 2.85-3.03, 1 Mg 2.98, 3 Cd 3.05-3.08
3 Mg 0.0000 0.0000 0.0000  6 Ag 2.96-3.00, 4 Cd 2.99, 2 Mg 3.21
4 Cd 0.3341 0.9989 0.6681  5 Ag 2.95-3.08, 5 Mg 2.99-3.08, 2 Cd 3.01
5 Cd 0.6659 0.0011 0.3319  5 Ag 2.95-3.08, 5 Mg 2.99-3.08, 2 Cd 3.01
6 Ag 0.5502 0.3290 0.1004  6 Mg 2.91-3.03, 2 Cd 2.95-3.05, 4 Ag 3.00-3.09
7 Ag 0.7797 0.6651 0.5594  4 Mg 2.85-3.00, 5 Ag 2.96-3.09, 3 Cd 2.98-3.08
8 Ag 0.4498 0.6710 0.8996  6 Mg 2.91-3.03, 2 Cd 2.95-3.05, 4 Ag 3.00-3.09
9 Ag 0.2203 0.3349 0.4406  4 Mg 2.85-3.00, 5 Ag 2.96-3.09, 3 Cd 2.98-3.08

Symmetry   C2/m (12)
Distance to the lowest polymorph of the same formula   10 meV per atom
E_form   -0.15 eV per atom

---

Entry 7:
Compound: Mg2Cd6Ag
Source: Alexandria via LeMat-Bulk
Functional: GGA-PBE
Structure: optimized geometry

Lattice parameters (Å, degrees): 4.2495 5.7067 9.0086 105.99 90.00 111.86
Last column: nearest neighbours and their distance in Å.
Positions (direct):
1 Mg 0.6528 0.3056 0.7124  9 Cd 2.95-3.25, 2 Ag 2.99
2 Mg 0.3472 0.6944 0.2876  9 Cd 2.95-3.25, 2 Ag 2.99
3 Cd 0.3281 0.6562 0.9415  8 Cd 3.00-3.34, 3 Mg 3.06-3.15
4 Cd 0.6719 0.3438 0.0585  8 Cd 3.00-3.34, 3 Mg 3.06-3.15
5 Cd 0.0022 0.0045 0.1693  1 Ag 2.99, 8 Cd 3.04-3.34, 2 Mg 3.06
6 Cd 0.6681 0.3362 0.3902  4 Mg 2.95-3.25, 5 Cd 3.00-3.08, 2 Ag 3.12
7 Cd 0.9978 0.9955 0.8307  1 Ag 2.99, 8 Cd 3.04-3.34, 2 Mg 3.06
8 Cd 0.3319 0.6638 0.6098  4 Mg 2.95-3.25, 5 Cd 3.00-3.08, 2 Ag 3.12
9 Ag 0.0000 0.0000 0.5000  6 Cd 2.99-3.12, 4 Mg 2.99

Symmetry   C2/m (12)
Distance to the lowest polymorph of the same formula   0 meV per atom
E_form   -0.06 eV per atom

---

Entry 8:
Compound: MgCd4Ag15
Source: Alexandria via LeMat-Bulk
Functional: GGA-PBE
Structure: optimized geometry

Lattice parameters (Å, degrees): 4.1318 4.1318 21.5786 90.00 90.00 90.00
Last column: nearest neighbours and their distance in Å.
Positions (direct):
1 Mg 0.0000 0.0000 0.0000  12 Ag 2.92-2.95
2 Cd 0.0000 0.0000 0.1986  12 Ag 2.92-3.00
3 Cd 0.0000 0.0000 0.3995  12 Ag 2.92-3.00
4 Cd 0.0000 0.0000 0.6005  12 Ag 2.92-3.00
5 Cd 0.0000 0.0000 0.8014  12 Ag 2.92-3.00
6 Ag 0.5000 0.5000 0.0000  4 Mg 2.92, 8 Ag 2.95
7 Ag 0.5000 0.5000 0.1987  4 Cd 2.92, 8 Ag 2.99-3.00
8 Ag 0.5000 0.5000 0.3995  4 Cd 2.92, 8 Ag 2.99
9 Ag 0.5000 0.5000 0.6005  4 Cd 2.92, 8 Ag 2.99
10 Ag 0.5000 0.5000 0.8013  4 Cd 2.92, 8 Ag 2.99-3.00
11 Ag 0.5000 0.0000 0.0976  8 Ag 2.92-3.00, 2 Mg 2.95, 2 Cd 3.00
12 Ag 0.5000 0.0000 0.2991  8 Ag 2.92-2.99, 4 Cd 2.99-3.00
13 Ag 0.5000 0.0000 0.5000  8 Ag 2.92-2.99, 4 Cd 3.00
14 Ag 0.5000 0.0000 0.7009  8 Ag 2.92-2.99, 4 Cd 2.99-3.00
15 Ag 0.5000 0.0000 0.9024  8 Ag 2.92-3.00, 2 Mg 2.95, 2 Cd 3.00
16 Ag 0.0000 0.5000 0.0976  8 Ag 2.92-3.00, 2 Mg 2.95, 2 Cd 3.00
17 Ag 0.0000 0.5000 0.2991  8 Ag 2.92-2.99, 4 Cd 2.99-3.00
18 Ag 0.0000 0.5000 0.5000  8 Ag 2.92-2.99, 4 Cd 3.00
19 Ag 0.0000 0.5000 0.7009  8 Ag 2.92-2.99, 4 Cd 2.99-3.00
20 Ag 0.0000 0.5000 0.9024  8 Ag 2.92-3.00, 2 Mg 2.95, 2 Cd 3.00

Symmetry   P4/mmm (123)
E_form   -0.06 eV per atom

---

Entry 9:
Compound: Mg4CdAg
Source: Alexandria via LeMat-Bulk
Functional: GGA-PBE
Structure: optimized geometry

Lattice parameters (Å, degrees): 6.2358 6.2358 7.8201 54.56 143.36 136.12
Last column: nearest neighbours and their distance in Å.
Positions (direct):
1 Mg 0.3425 0.6562 0.9987  2 Cd 2.94-2.96, 2 Ag 2.95, 6 Mg 3.17-3.29
2 Mg 0.6575 0.3438 0.0013  2 Cd 2.94-2.96, 2 Ag 2.95, 6 Mg 3.17-3.29
3 Mg 0.3434 0.1562 0.4996  2 Ag 2.94-2.96, 2 Cd 2.95, 4 Mg 3.17-3.21
4 Mg 0.6566 0.8438 0.5004  2 Ag 2.94-2.96, 2 Cd 2.95, 4 Mg 3.17-3.21
5 Cd 0.0000 0.5000 0.5000  8 Mg 2.94-2.96
6 Ag 0.0000 0.0000 0.0000  8 Mg 2.94-2.96

Symmetry   C2/m (12)
Distance to the lowest polymorph of the same formula   0 meV per atom
E_form   -0.10 eV per atom

---

Entry 10:
Compound: Mg2Cd3Ag
Source: Alexandria via LeMat-Bulk
Functional: GGA-PBE
Structure: optimized geometry

Lattice parameters (Å, degrees): 5.3102 5.3102 9.8314 100.37 100.39 109.44
Last column: nearest neighbours and their distance in Å.
Positions (direct):
1 Mg 0.7975 0.0474 0.5951  2 Ag 3.02, 8 Cd 3.02-3.22, 2 Mg 3.19
2 Mg 0.5477 0.2976 0.0951  2 Ag 3.02, 8 Cd 3.02-3.22, 2 Mg 3.19
3 Mg 0.4523 0.7024 0.9049  2 Ag 3.02, 8 Cd 3.02-3.22, 2 Mg 3.19
4 Mg 0.2025 0.9526 0.4049  2 Ag 3.02, 8 Cd 3.02-3.22, 2 Mg 3.19
5 Cd 0.6250 0.8750 0.2500  6 Mg 3.02-3.22, 2 Ag 3.07, 4 Cd 3.10
6 Cd 0.3750 0.1250 0.7500  6 Mg 3.02-3.22, 2 Ag 3.07, 4 Cd 3.10
7 Cd 0.0390 0.7891 0.0782  4 Cd 3.03-3.10, 5 Mg 3.05-3.11, 3 Ag 3.07-3.10
8 Cd 0.7110 0.4609 0.4218  4 Cd 3.03-3.10, 5 Mg 3.05-3.11, 3 Ag 3.07-3.10
9 Cd 0.2890 0.5391 0.5782  4 Cd 3.03-3.10, 5 Mg 3.05-3.11, 3 Ag 3.07-3.10
10 Cd 0.9610 0.2109 0.9218  4 Cd 3.03-3.10, 5 Mg 3.05-3.11, 3 Ag 3.07-3.10
11 Ag 0.8749 0.6249 0.7500  4 Mg 3.02, 8 Cd 3.07-3.10
12 Ag 0.1251 0.3751 0.2500  4 Mg 3.02, 8 Cd 3.07-3.10

Symmetry   Fddd (70)
Distance to the lowest polymorph of the same formula   0 meV per atom
E_form   -0.09 eV per atom

---

Entry 11:
Compound: Mg4CdAg7
Source: Alexandria via LeMat-Bulk
Functional: GGA-PBE
Structure: optimized geometry

Lattice parameters (Å, degrees): 5.7518 5.3323 8.8008 75.14 59.37 88.97
Last column: nearest neighbours and their distance in Å.
Positions (direct):
1 Mg 0.4992 0.6725 0.3315  8 Ag 2.85-3.04, 1 Cd 2.98, 3 Mg 3.06-3.08
2 Mg 0.5008 0.3275 0.6685  8 Ag 2.85-3.04, 1 Cd 2.98, 3 Mg 3.06-3.08
3 Mg 0.7593 0.8162 0.6775  9 Ag 2.84-3.16, 3 Mg 3.06-3.08
4 Mg 0.2407 0.1838 0.3225  9 Ag 2.84-3.16, 3 Mg 3.06-3.08
5 Cd 0.0000 0.0000 0.0000  10 Ag 2.88-3.06, 2 Mg 2.98
6 Ag 0.7497 0.4983 0.0004  7 Ag 2.88-3.05, 3 Mg 2.89-2.95, 2 Cd 3.00-3.06
7 Ag 0.2503 0.5017 0.9996  7 Ag 2.88-3.05, 3 Mg 2.89-2.95, 2 Cd 3.00-3.06
8 Ag 0.0078 0.3277 0.6603  6 Mg 2.87-3.04, 5 Ag 2.97-3.08, 1 Cd 3.03
9 Ag 0.9922 0.6723 0.3397  6 Mg 2.87-3.04, 5 Ag 2.97-3.08, 1 Cd 3.03
10 Ag 0.2662 0.8291 0.6605  6 Mg 2.84-3.16, 5 Ag 2.89-3.08, 1 Cd 2.96
11 Ag 0.5000 0.0000 0.0000  2 Cd 2.88, 4 Mg 2.88-2.99, 6 Ag 3.01-3.04
12 Ag 0.7338 0.1709 0.3395  6 Mg 2.84-3.16, 5 Ag 2.89-3.08, 1 Cd 2.96

Symmetry   P-1 (2)
Distance to the lowest polymorph of the same formula   0 meV per atom
E_form   -0.16 eV per atom

---

Entry 12:
Compound: MgCd5Ag2
Source: Alexandria via LeMat-Bulk
Functional: GGA-PBE
Structure: optimized geometry

Lattice parameters (Å, degrees): 4.4216 6.1076 12.1255 90.00 90.00 90.00
Last column: nearest neighbours and their distance in Å.
Positions (direct):
1 Mg 0.0000 0.0000 0.5000  4 Ag 3.03, 8 Cd 3.04-3.09
2 Mg 0.0000 0.5000 0.0000  4 Ag 3.03, 8 Cd 3.04-3.09
3 Cd 0.0000 0.0000 0.0000  6 Cd 3.02-3.07, 2 Mg 3.05, 4 Ag 3.11
4 Cd 0.0000 0.5000 0.5000  6 Cd 3.02-3.07, 2 Mg 3.05, 4 Ag 3.11
5 Cd 0.0000 0.4935 0.7492  7 Cd 3.02-3.09, 1 Mg 3.04, 4 Ag 3.09-3.12
6 Cd 0.0000 0.5065 0.2508  7 Cd 3.02-3.09, 1 Mg 3.04, 4 Ag 3.09-3.12
7 Cd 0.0000 0.0065 0.2492  7 Cd 3.02-3.09, 1 Mg 3.04, 4 Ag 3.09-3.12
8 Cd 0.0000 0.9935 0.7508  7 Cd 3.02-3.09, 1 Mg 3.04, 4 Ag 3.09-3.12
9 Cd 0.5000 0.2465 0.8758  4 Ag 2.99-3.11, 6 Cd 3.07-3.09, 2 Mg 3.09
10 Cd 0.5000 0.7535 0.1242  4 Ag 2.99-3.11, 6 Cd 3.07-3.09, 2 Mg 3.09
11 Cd 0.5000 0.2535 0.3758  4 Ag 2.99-3.11, 6 Cd 3.07-3.09, 2 Mg 3.09
12 Cd 0.5000 0.7465 0.6242  4 Ag 2.99-3.11, 6 Cd 3.07-3.09, 2 Mg 3.09
13 Ag 0.5000 0.2369 0.6222  10 Cd 2.99-3.12, 2 Mg 3.03
14 Ag 0.5000 0.7631 0.3778  10 Cd 2.99-3.12, 2 Mg 3.03
15 Ag 0.5000 0.2631 0.1222  10 Cd 2.99-3.12, 2 Mg 3.03
16 Ag 0.5000 0.7369 0.8778  10 Cd 2.99-3.12, 2 Mg 3.03

Symmetry   Pbam (55)
Distance to the lowest polymorph of the same formula   0 meV per atom
E_form   -0.04 eV per atom

---

no.,total magnetic moment (μB/cell),total energy (eV/cell)
1,0.0,-19.44
2,0.0,-32.30
3,0.0,-15.37
4,0.0,-24.29
5,0.0,-21.62
6,0.0,-19.36
7,0.0,-12.03
8,0.0,-49.20
9,0.0,-10.73
10,0.0,-18.63
11,0.0,-29.14
12,0.0,-24.44